Entry 1:
This record from Alexandria describes a relaxed structure of Ba2TiW. The functional is PBE.

## Properties
The calculation puts the total magnetization at 0.00 μB/cell. The value obtained for the formation energy is 1.573 eV per atom. Its volume is 444.6 Å³/cell. The value obtained for the total energy is -0.338 Ry per atom. The density comes out at 7564 kg/m3.

Unit cell a=7.633 b=7.633 c=7.633 alpha=90.00 beta=90.00 gamma=90.00
Space group Fm-3m (No. 225)
Inequivalent atoms, fractional coordinates:
Ba1 0.250 0.250 0.250 (multiplicity 8)
Ti1 0.000 0.000 0.000 (multiplicity 4)
W1 0.000 0.000 0.500 (multiplicity 4)


Entry 2:
This record from Alexandria describes a relaxed structure of Cs2RbSrAu. The functional is PBE.

## Properties
The calculation puts the total magnetization at 0.00 μB/cell. The value obtained for the formation energy is -0.131 eV per atom. Its volume is 336.3 Å³/cell. The value obtained for the total energy is -0.122 Ry per atom. The density comes out at 3140 kg/m3.

Unit cell a=7.264 b=7.264 c=6.373 alpha=90.00 beta=90.00 gamma=90.00
Space group P4/mmm (No. 123)
Inequivalent atoms, fractional coordinates:
Cs1 0.000 0.500 0.000 (multiplicity 2)
Rb1 0.000 0.000 0.500 (multiplicity 1)
Sr1 0.500 0.500 0.500 (multiplicity 1)
Au1 0.500 0.500 0.000 (multiplicity 1)


Entry 3:
This record from Alexandria describes a relaxed structure of Ba4Mg. The functional is PBE.

## Properties
The calculation puts the total magnetization at 0.08 μB/cell. The value obtained for the formation energy is -0.006 eV per atom. Its volume is 555.0 Å³/cell. The value obtained for the total energy is -0.137 Ry per atom. The density comes out at 3432 kg/m3.

Unit cell a=4.421 b=4.421 c=28.391 alpha=90.00 beta=90.00 gamma=90.00
Space group I4/mmm (No. 139)
Inequivalent atoms, fractional coordinates:
Ba1 0.000 0.000 0.074 (multiplicity 4)
Ba2 0.000 0.000 0.308 (multiplicity 4)
Mg1 0.000 0.000 0.500 (multiplicity 2)


Entry 4:
This record from Alexandria describes a relaxed structure of ZrCo2BRu. The functional is PBE.

## Properties
The calculation puts the total magnetization at 0.90 μB/cell. The value obtained for the formation energy is -0.425 eV per atom. Its volume is 62.9 Å³/cell. The value obtained for the total energy is -0.600 Ry per atom. The density comes out at 8477 kg/m3.

Unit cell a=3.915 b=3.915 c=4.103 alpha=90.00 beta=90.00 gamma=90.00
Space group P4/mmm (No. 123)
Inequivalent atoms, fractional coordinates:
Zr1 0.000 0.000 0.000 (multiplicity 1)
Co1 0.000 0.500 0.500 (multiplicity 2)
B1 0.500 0.500 0.500 (multiplicity 1)
Ru1 0.500 0.500 0.000 (multiplicity 1)


Entry 5:
This record from Alexandria describes a relaxed structure of Tb3Ga4Au2. The functional is PBE.

## Properties
The calculation puts the total magnetization at 0.00 μB/cell. The value obtained for the formation energy is -0.760 eV per atom. Its volume is 380.7 Å³/cell. The value obtained for the total energy is -0.322 Ry per atom. The density comes out at 10030 kg/m3.

Unit cell a=10.715 b=4.524 c=8.502 alpha=90.00 beta=112.55 gamma=90.00
Space group C2/m (No. 12)
Inequivalent atoms, fractional coordinates:
Tb1 0.000 0.000 0.000 (multiplicity 2)
Tb2 0.174 0.500 0.656 (multiplicity 4)
Ga1 0.026 0.000 0.364 (multiplicity 4)
Ga2 0.242 0.500 0.076 (multiplicity 4)
Au1 0.102 0.500 0.271 (multiplicity 4)


Entry 6:
This record from Alexandria describes a relaxed structure of MnMo2. The functional is PBE.

## Properties
The calculation puts the total magnetization at 0.01 μB/cell. The value obtained for the formation energy is 0.298 eV per atom. Its volume is 86.5 Å³/cell. The value obtained for the total energy is -0.733 Ry per atom. The density comes out at 9480 kg/m3.

Unit cell a=4.4659 b=4.4659 c=5.0062 alpha=90.00 beta=90.00 gamma=120.00
Space group P6_3/mmc (No. 194)
Inequivalent atoms, fractional coordinates:
Mn1 0.3333 0.6667 0.2500 (multiplicity 2)
Mo1 0.0000 0.0000 0.0000 (multiplicity 2)
Mo2 0.3333 0.6667 0.7500 (multiplicity 2)


Entry 7:
This record from Alexandria describes a relaxed structure of Y3Tm3Th2. The functional is PBE.

## Properties
The calculation puts the total magnetization at 0.00 μB/cell. The value obtained for the formation energy is 0.025 eV per atom. Its volume is 506.6 Å³/cell. The value obtained for the total energy is -0.436 Ry per atom. The density comes out at 8114 kg/m3.

Unit cell a=5.013 b=5.015 c=20.151 alpha=90.00 beta=90.00 gamma=90.00
Space group Immm (No. 71)
Inequivalent atoms, fractional coordinates:
Y1 0.000 0.000 0.000 (multiplicity 2)
Y2 0.000 0.500 0.127 (multiplicity 4)
Tm1 0.000 0.000 0.500 (multiplicity 2)
Tm2 0.000 0.500 0.373 (multiplicity 4)
Th1 0.000 0.000 0.250 (multiplicity 4)


Entry 8:
This record from Alexandria describes a relaxed structure of LaNd2Er5. The functional is PBE.

## Properties
The calculation puts the total magnetization at 0.00 μB/cell. The value obtained for the formation energy is 0.025 eV per atom. Its volume is 519.9 Å³/cell. The value obtained for the total energy is -0.341 Ry per atom. The density comes out at 8072 kg/m3.

Unit cell a=7.152 b=14.328 c=5.074 alpha=90.00 beta=90.00 gamma=90.00
Space group Pbam (No. 55)
Inequivalent atoms, fractional coordinates:
La1 0.000 0.000 0.000 (multiplicity 2)
Nd1 0.245 0.373 0.500 (multiplicity 4)
Er1 0.000 0.500 0.000 (multiplicity 2)
Er2 0.005 0.748 0.000 (multiplicity 4)
Er3 0.247 0.126 0.500 (multiplicity 4)


Entry 9:
This record from Alexandria describes a relaxed structure of La5InAu4. The functional is PBE.

## Properties
The calculation puts the total magnetization at 0.00 μB/cell. The value obtained for the formation energy is -0.728 eV per atom. Its volume is 277.6 Å³/cell. The value obtained for the total energy is -0.351 Ry per atom. The density comes out at 9554 kg/m3.

Unit cell a=3.782 b=3.782 c=19.406 alpha=90.00 beta=90.00 gamma=90.00
Space group P4/mmm (No. 123)
Inequivalent atoms, fractional coordinates:
La1 0.000 0.000 0.000 (multiplicity 1)
La2 0.000 0.000 0.195 (multiplicity 2)
La3 0.000 0.000 0.389 (multiplicity 2)
In1 0.500 0.500 0.500 (multiplicity 1)
Au1 0.500 0.500 0.097 (multiplicity 2)
Au2 0.500 0.500 0.292 (multiplicity 2)


Entry 10:
This record from Alexandria describes a relaxed structure of Dy5Y12Tm2. The functional is PBE.

## Properties
The calculation puts the total magnetization at 0.00 μB/cell. The value obtained for the formation energy is 0.025 eV per atom. Its volume is 603.6 Å³/cell. The value obtained for the total energy is -0.422 Ry per atom. The density comes out at 6100 kg/m3.

Unit cell a=6.157 b=9.413 c=11.232 alpha=83.13 beta=79.44 gamma=70.93
Space group P-1 (No. 2)
Inequivalent atoms, fractional coordinates:
Dy1 0.000 0.000 0.000 (multiplicity 1)
Dy2 0.157 0.316 0.052 (multiplicity 2)
Dy3 0.421 0.841 0.474 (multiplicity 2)
Y1 0.052 0.106 0.683 (multiplicity 2)
Y2 0.106 0.212 0.369 (multiplicity 2)
Y3 0.211 0.421 0.736 (multiplicity 2)
Y4 0.315 0.631 0.106 (multiplicity 2)
Y5 0.369 0.736 0.789 (multiplicity 2)
Y6 0.474 0.948 0.158 (multiplicity 2)
Tm1 0.264 0.526 0.422 (multiplicity 2)


Entry 11:
This record from Alexandria describes a relaxed structure of Tl2AgHgF6. The functional is PBE.

## Properties
The calculation puts the total magnetization at 1.02 μB/cell. Its volume is 186.9 Å³/cell. The value obtained for the total energy is -0.251 Ry per atom. The density comes out at 7386 kg/m3.

Unit cell a=6.277 b=6.338 c=6.409 alpha=60.52 beta=61.72 gamma=89.51
Space group P-1 (No. 2)
Inequivalent atoms, fractional coordinates:
Tl1 0.237 0.238 0.015 (multiplicity 2)
Ag1 0.500 0.000 0.500 (multiplicity 1)
Hg1 0.000 0.500 0.500 (multiplicity 1)
F1 0.179 0.777 0.046 (multiplicity 2)
F2 0.204 0.820 0.509 (multiplicity 2)
F3 0.353 0.319 0.427 (multiplicity 2)


Entry 12:
This record from Alexandria describes a relaxed structure of Zn2Pt2Au. The functional is PBE.

## Properties
The calculation puts the total magnetization at 0.00 μB/cell. The value obtained for the formation energy is -0.371 eV per atom. Its volume is 159.5 Å³/cell. The value obtained for the total energy is -0.290 Ry per atom. The density comes out at 14954 kg/m3.

Unit cell a=7.436 b=7.436 c=2.884 alpha=90.00 beta=90.00 gamma=90.00
Space group P4/mbm (No. 127)
Inequivalent atoms, fractional coordinates:
Zn1 0.160 0.340 0.000 (multiplicity 4)
Pt1 0.138 0.638 0.500 (multiplicity 4)
Au1 0.000 0.000 0.500 (multiplicity 2)


Entry 13:
This record from Alexandria describes a relaxed structure of SmLu2Cu. The functional is PBE.

## Properties
The calculation puts the total magnetization at 0.00 μB/cell. The value obtained for the formation energy is 0.013 eV per atom. Its volume is 323.2 Å³/cell. The value obtained for the total energy is -0.327 Ry per atom. The density comes out at 8691 kg/m3.

Unit cell a=3.5839 b=3.5839 c=29.0537 alpha=90.00 beta=90.00 gamma=120.00
Space group R-3m (No. 166, hexagonal axes)
Inequivalent atoms, fractional coordinates:
Sm1 0.0000 0.0000 0.0000 (multiplicity 3)
Lu1 0.0000 0.0000 0.2324 (multiplicity 6)
Cu1 0.0000 0.0000 0.5000 (multiplicity 3)


Entry 14:
This record from Alexandria describes a relaxed structure of BeAl2CdP. The functional is PBE.

## Properties
The calculation puts the total magnetization at 0.00 μB/cell. The value obtained for the formation energy is 0.477 eV per atom. Its volume is 89.8 Å³/cell. The value obtained for the total energy is -0.223 Ry per atom. The density comes out at 3815 kg/m3.

Unit cell a=4.308 b=4.308 c=4.841 alpha=90.00 beta=90.00 gamma=90.00
Space group P4/mmm (No. 123)
Inequivalent atoms, fractional coordinates:
Be1 0.000 0.000 0.000 (multiplicity 1)
Al1 0.000 0.500 0.000 (multiplicity 2)
Cd1 0.000 0.000 0.500 (multiplicity 1)
P1 0.500 0.500 0.500 (multiplicity 1)


Entry 15:
This record from Alexandria describes a relaxed structure of CeHoAgOs. The functional is PBE.

## Properties
The calculation puts the total magnetization at 1.38 μB/cell. The value obtained for the formation energy is -0.169 eV per atom. Its volume is 352.0 Å³/cell. The value obtained for the total energy is -0.464 Ry per atom. The density comes out at 11381 kg/m3.

Unit cell a=7.061 b=7.061 c=7.061 alpha=90.00 beta=90.00 gamma=90.00
Space group F-43m (No. 216)
Inequivalent atoms, fractional coordinates:
Ce1 0.000 0.000 0.000 (multiplicity 4)
Ho1 0.000 0.000 0.500 (multiplicity 4)
Ag1 0.250 0.250 0.750 (multiplicity 4)
Os1 0.250 0.250 0.250 (multiplicity 4)


Entry 16:
This record from Alexandria describes a relaxed structure of Zr6Al16Ni7. The functional is PBE.

## Properties
The calculation puts the total magnetization at 0.00 μB/cell. The value obtained for the formation energy is -0.642 eV per atom. Its volume is 1770.3 Å³/cell. The value obtained for the total energy is -0.431 Ry per atom. The density comes out at 5215 kg/m3.

Unit cell a=12.097 b=12.097 c=12.097 alpha=90.00 beta=90.00 gamma=90.00
Space group Fm-3m (No. 225)
Inequivalent atoms, fractional coordinates:
Zr1 0.000 0.000 0.191 (multiplicity 24)
Al1 0.119 0.119 0.381 (multiplicity 32)
Al2 0.166 0.166 0.166 (multiplicity 32)
Ni1 0.000 0.000 0.500 (multiplicity 4)
Ni2 0.000 0.250 0.250 (multiplicity 24)


Entry 17:
This record from Alexandria describes a relaxed structure of TmIn2Te4Pb. The functional is PBE.

## Properties
The calculation puts the total magnetization at 0.00 μB/cell. Its volume is 267.2 Å³/cell. The value obtained for the total energy is -0.286 Ry per atom. The density comes out at 6936 kg/m3.

Unit cell a=7.948 b=4.425 c=8.016 alpha=90.00 beta=108.59 gamma=90.00
Space group P2/m (No. 10)
Inequivalent atoms, fractional coordinates:
Tm1 0.000 0.000 0.000 (multiplicity 1)
In1 0.000 0.500 0.500 (multiplicity 1)
In2 0.500 0.000 0.500 (multiplicity 1)
Te1 0.226 0.500 0.230 (multiplicity 2)
Te2 0.230 0.000 0.755 (multiplicity 2)
Pb1 0.500 0.500 0.000 (multiplicity 1)


Entry 18:
This record from Alexandria describes a relaxed structure of NaLiGa2Ni. The functional is PBE.

## Properties
The calculation puts the total magnetization at 0.00 μB/cell. The value obtained for the formation energy is -0.164 eV per atom. Its volume is 100.0 Å³/cell. The value obtained for the total energy is -0.234 Ry per atom. The density comes out at 3787 kg/m3.

Unit cell a=4.548 b=4.548 c=4.835 alpha=90.00 beta=90.00 gamma=90.00
Space group P4/mmm (No. 123)
Inequivalent atoms, fractional coordinates:
Na1 0.000 0.000 0.000 (multiplicity 1)
Li1 0.500 0.500 0.000 (multiplicity 1)
Ga1 0.000 0.500 0.500 (multiplicity 2)
Ni1 0.500 0.500 0.500 (multiplicity 1)


Entry 19:
This record from Alexandria describes a relaxed structure of KRhO4. The functional is PBE.

## Properties
The calculation puts the total magnetization at 1.91 μB/cell. Its volume is 76.7 Å³/cell. The value obtained for the total energy is -0.373 Ry per atom. The density comes out at 4459 kg/m3.

Unit cell a=3.399 b=3.399 c=6.642 alpha=90.00 beta=90.00 gamma=90.00
Space group P4/mmm (No. 123)
Inequivalent atoms, fractional coordinates:
K1 0.000 0.000 0.000 (multiplicity 1)
Rh1 0.500 0.500 0.500 (multiplicity 1)
O1 0.000 0.500 0.321 (multiplicity 4)


Entry 20:
This record from Alexandria describes a relaxed structure of SrHg3B. The functional is PBE.

## Properties
The calculation puts the total magnetization at 0.00 μB/cell. The value obtained for the formation energy is 0.239 eV per atom. Its volume is 117.1 Å³/cell. The value obtained for the total energy is -0.119 Ry per atom. The density comes out at 9931 kg/m3.

Unit cell a=4.892 b=4.892 c=4.892 alpha=90.00 beta=90.00 gamma=90.00
Space group Pm-3m (No. 221)
Inequivalent atoms, fractional coordinates:
Sr1 0.000 0.000 0.000 (multiplicity 1)
Hg1 0.000 0.500 0.500 (multiplicity 3)
B1 0.500 0.500 0.500 (multiplicity 1)